[1]
! CoHgRhC2 PBEsol optimized geometry; values from VASP
&SYSTEM
  ibrav = 0, nat = 5, ntyp = 4
/
ATOMIC_SPECIES
Hg 200.59 Hg.upf
C 12.01 C.upf
Co 58.93 Co.upf
Rh 102.91 Rh.upf
CELL_PARAMETERS angstrom
4.045 0.000 0.000
0.000 4.045 0.000
0.000 0.000 4.805
ATOMIC_POSITIONS angstrom
Hg 0.000 0.000 0.000
C 2.022 0.000 0.000
C 0.000 2.022 0.000
Co 0.000 0.000 2.402
Rh 2.022 2.022 2.402
! Crystal system: tetragonal
! DFT formation energy, eV/atom: 3.160

---

[2]
! CoCI2 PBEsol optimized geometry; values from VASP
&SYSTEM
  ibrav = 0, nat = 8, ntyp = 3
/
ATOMIC_SPECIES
I 126.90 I.upf
Co 58.93 Co.upf
C 12.01 C.upf
CELL_PARAMETERS angstrom
-4.412 -1.302 -3.078
3.320 -1.118 -4.285
0.942 -4.185 5.396
ATOMIC_POSITIONS angstrom
I 0.042 -4.657 -0.578
I 1.509 -2.506 -3.539
I -2.403 -2.612 -2.968
I 0.553 -3.435 3.149
Co 0.000 0.000 0.000
Co 1.858 -3.256 -1.286
C -2.008 -3.348 -0.682
C -0.546 -1.210 -3.682
! Crystal system: tetragonal
! Formation energy (no corrections), eV/atom: 1.483
! Energy relative to the lowest polymorph listed for this composition, meV/atom: 0

---

[3]
! CoCI2 PBEsol optimized geometry; values from VASP
&SYSTEM
  ibrav = 0, nat = 4, ntyp = 3
/
ATOMIC_SPECIES
I 126.90 I.upf
Co 58.93 Co.upf
C 12.01 C.upf
CELL_PARAMETERS angstrom
-2.810 -3.597 -0.847
0.009 -2.019 -4.180
1.773 -4.260 -0.516
ATOMIC_POSITIONS angstrom
I -0.257 -2.469 -1.386
I -0.771 -7.407 -4.157
Co -0.514 -4.938 -2.772
C 0.000 0.000 0.000
! Crystal system: cubic
! Formation energy (no corrections), eV/atom: 1.929
! Energy relative to the lowest polymorph listed for this composition, meV/atom: 446

---

| no. | uncorrected energy (eV per cell) | Fermi-level density of states (states/eV per atom) |
| --- | --- | --- |
| 1 | -19.9 | 1.6716 |
| 2 | -30.0 | 0.7223 |
| 3 | -13.2 | 0.9812 |